## CrCdN2Cl (PBE)

Data for CrCdN2Cl after structural relaxation.

```
5
Lattice="4.084 0.000 0.000 0.000 5.892 0.000 0.000 0.000 4.084" Properties=species:S:1:pos:R:3 pbc="T T T"
Cr 0.000 2.946 0.000
Cl 2.042 2.946 2.042
Cd 0.000 0.000 0.000
N 2.042 0.000 0.000
N 0.000 0.000 2.042
```

Results
The formation energy (no corrections) comes out at 2259 meV per atom. The crystal system is tetragonal. Its calculated volume is 98.3 Å³/cell.